A relaxed PuScMnO6 crystal, computed with PBE+U.

The total energy is -160.11 eV/cell.

```
data_PuScMnO6
_cell_length_a 5.4496
_cell_length_b 5.4496
_cell_length_c 9.1251
_cell_angle_alpha 90.00
_cell_angle_beta 90.00
_cell_angle_gamma 120.00
_space_group_name_H-M_alt 'P -3 1 c'
_space_group_IT_number 163
_space_group_name_Hall '-P 3 2c'
loop_
_atom_site_label
_atom_site_fract_x
_atom_site_fract_y
_atom_site_fract_z
_atom_site_occupancy
Pu1 0.3333 0.6667 0.2500 1
Sc1 0.3333 0.6667 0.7500 1
Mn1 0.0000 0.0000 0.0000 1
O1 0.0143 0.3549 0.1334 1
```